1.
Computed, not measured: a geometry-optimized MgCd2Co structure at the PBE-GGA level of DFT.

Magnetization in μB per formula unit: 1.0
Energy of formation from the pure elements in eV per atom: 0.139
Fermi-level density of states in states/eV per atom: 0.44
Calculated volume in Å³/f.u.: 71
E in eV/atom: -2.494

extended XYZ file:
```
4
Lattice="-2.029 2.029 4.302 2.029 -2.029 4.302 2.029 2.029 -4.302" Properties=species:S:1:pos:R:3 pbc="T T T"
Mg 0.000 0.000 0.000
Cd 2.029 0.000 2.151
Cd 0.000 2.029 2.151
Co 0.000 0.000 4.302
```

***

2.
Computed, not measured: a geometry-optimized Ni2BiPPb structure at the PBE-GGA level of DFT.

Magnetization in μB per formula unit: 0.0
Energy of formation from the pure elements in eV per atom: 1.108
Fermi-level density of states in states/eV per atom: 0.81
Calculated volume in Å³/f.u.: 121
E in eV/atom: -3.805

extended XYZ file:
```
5
Lattice="4.800 0.000 0.000 0.000 4.800 0.000 0.000 0.000 5.242" Properties=species:S:1:pos:R:3 pbc="T T T"
Ni 0.000 2.400 0.000
Ni 2.400 0.000 0.000
Bi 0.000 0.000 2.621
P 2.400 2.400 2.621
Pb 2.400 2.400 0.000
```

***

3.
Computed, not measured: a geometry-optimized YCdSi2Pd5 structure at the PBE-GGA level of DFT.

Magnetization in μB per formula unit: 0.0
Raw formation energy in eV/atom: -0.65
Fermi-level density of states in states/eV per atom: 0.58
Calculated volume in Å³/f.u.: 154
E in eV/atom: -5.560

extended XYZ file:
```
9
Lattice="4.186 0.000 0.000 0.000 4.186 0.000 0.000 0.000 8.797" Properties=species:S:1:pos:R:3 pbc="T T T"
Y 0.000 0.000 0.000
Cd 0.000 0.000 4.398
Si 2.093 2.093 3.252
Si 2.093 2.093 5.545
Pd 0.000 2.093 2.099
Pd 0.000 2.093 6.698
Pd 2.093 0.000 2.099
Pd 2.093 0.000 6.698
Pd 2.093 2.093 0.000
```

***

4.
Computed, not measured: a geometry-optimized Li2Cu5As4 structure at the PBE-GGA level of DFT.

Magnetization in μB per formula unit: 0.0
Energy of formation from the pure elements in eV per atom: -0.027
Fermi-level density of states in states/eV per atom: 0.36
Calculated volume in Å³/f.u.: 188
E in eV/atom: -3.927

extended XYZ file:
```
11
Lattice="0.000 4.751 7.731 2.565 0.000 7.731 2.565 4.751 0.000" Properties=species:S:1:pos:R:3 pbc="T T T"
Li 2.565 4.751 1.776
Li 2.565 4.751 13.687
Cu 1.282 2.376 0.000
Cu 1.282 2.376 3.866
Cu 1.282 2.376 7.731
Cu 2.565 4.751 7.731
Cu 3.847 7.127 11.597
As 2.565 3.338 5.728
As 2.565 3.338 9.735
As 2.565 6.165 5.728
As 2.565 6.165 9.735
```